Material: AcC2O6
Method: DFT, GGA-PBE
State: relaxed

Unit cell a=6.776 b=6.776 c=7.310 alpha=119.45 beta=119.45 gamma=70.69
Sites, in units of the cell vectors:
Ac (0.188, 0.812, 0.750)
Ac (0.812, 0.188, 0.250)
C (0.218, 0.328, 0.860)
C (0.328, 0.218, 0.360)
C (0.672, 0.782, 0.640)
C (0.782, 0.672, 0.140)
O (0.059, 0.209, 0.680)
O (0.208, 0.541, 0.918)
O (0.209, 0.059, 0.180)
O (0.224, 0.385, 0.481)
O (0.385, 0.224, 0.981)
O (0.459, 0.792, 0.582)
O (0.541, 0.208, 0.418)
O (0.615, 0.776, 0.019)
O (0.776, 0.615, 0.519)
O (0.791, 0.941, 0.820)
O (0.792, 0.459, 0.082)
O (0.941, 0.791, 0.320)

## Properties
Symmetry: C2/c (15)
E_tot in eV/atom: -7.744
Energy relative to the elements, uncorrected in eV/atom: -1.932